Material: CaFe2Cu
Method: DFT, GGA-PBE
State: relaxed Values from VASP.

The calculation puts the magnetization at 4.963 μB per formula unit. The calculation puts the formation enthalpy at 0 K at 0.45 eV per atom.

Structure (Quantum ESPRESSO input):
```
&SYSTEM
  ibrav = 0, nat = 4, ntyp = 3
/
ATOMIC_SPECIES
Ca 40.08 Ca.upf
Fe 55.84 Fe.upf
Cu 63.55 Cu.upf
CELL_PARAMETERS angstrom
-2.787 -0.376 0.384
0.619 -3.246 1.309
0.489 2.519 6.014
ATOMIC_POSITIONS crystal
Ca 0.500 0.500 0.250
Fe 0.000 0.000 0.927
Fe 0.000 0.000 0.573
Cu 0.500 0.500 0.750
```



Material: NbVCo2H
Method: DFT, GGA-PBE
State: relaxed Values from VASP.

The value obtained for the energy above the lowest structure with this stoichiometry is 0.0 meV per atom. The calculation puts the magnetization at 0.000 μB per formula unit.

Structure (Quantum ESPRESSO input):
```
&SYSTEM
  ibrav = 0, nat = 5, ntyp = 4
/
ATOMIC_SPECIES
H 1.01 H.upf
Nb 92.91 Nb.upf
Co 58.93 Co.upf
V 50.94 V.upf
CELL_PARAMETERS angstrom
3.721 0.000 0.000
0.000 3.721 0.000
0.000 0.000 3.854
ATOMIC_POSITIONS crystal
H 0.000 0.000 0.000
Nb 0.500 0.500 0.500
Co 0.000 0.500 0.000
Co 0.500 0.000 0.000
V 0.000 0.000 0.500
```